(1)
An optimized crystal structure of BaFe2BO. Source: Alexandria via LeMat-Bulk, functional PBE with a Hubbard U.

a = 4.037 Å, b = 4.037 Å, c = 6.746 Å
α = 90.00°, β = 90.00°, γ = 90.00°
Fractional coordinates of all 5 atoms:
Ba  0.000  0.000  0.000
Fe  0.000  0.500  0.500
Fe  0.500  0.000  0.500
B  0.000  0.000  0.500
O  0.500  0.500  0.000

Summary:
Final energy ... -4.847 eV per atom
DOS(E_F) ... 0.26 states/eV per atom

=====

(2)
An optimized crystal structure of BaFeBP2O9. Source: Alexandria via LeMat-Bulk, functional PBE with a Hubbard U.

a = 5.344 Å, b = 8.126 Å, c = 8.308 Å
α = 88.49°, β = 87.79°, γ = 79.89°
Fractional coordinates of all 28 atoms:
Ba  0.227  0.133  0.309
Ba  0.773  0.867  0.691
Fe  0.223  0.211  0.807
Fe  0.777  0.789  0.193
B  0.372  0.544  0.737
B  0.628  0.456  0.263
P  0.277  0.814  0.943
P  0.299  0.703  0.425
P  0.701  0.297  0.575
P  0.723  0.186  0.057
O  0.006  0.785  0.990
O  0.050  0.809  0.365
O  0.213  0.437  0.794
O  0.234  0.663  0.606
O  0.254  0.952  0.807
O  0.373  0.535  0.336
O  0.424  0.855  0.086
O  0.444  0.656  0.861
O  0.486  0.191  0.586
O  0.514  0.809  0.414
O  0.556  0.344  0.139
O  0.576  0.145  0.914
O  0.627  0.465  0.664
O  0.746  0.048  0.193
O  0.766  0.337  0.394
O  0.787  0.563  0.206
O  0.950  0.191  0.635
O  0.994  0.215  0.010

Summary:
Final energy ... -7.319 eV per atom
DOS(E_F) ... 0.00 states/eV per atom

=====

Which value of final energy does entry 2 give? -7.319 eV per atom